NaNdInCu: optimized geometry, GGA-PBE.

abc: 7.0571 7.0571 7.0571
angles: 90.00 90.00 90.00
Closest atoms and distances in Å follow each position.
Space group F-43m (No. 216)
Asymmetric unit:
Na  0.0000  0.0000  0.0000  4 In 3.06, 4 Nd 3.06
Nd  0.2500  0.2500  0.2500  4 Na 3.06, 4 Cu 3.06
In  0.2500  0.2500  0.7500  4 Na 3.06, 4 Cu 3.06
Cu  0.0000  0.0000  0.5000  4 In 3.06, 4 Nd 3.06

Values from the calculation:
The value obtained for the electronic total energy is -3.369 eV per atom. The calculation puts the total magnetization at 0.000 μB per atom. The value obtained for the density of states at the Fermi level is 1.70 states/eV/f.u. Its formation enthalpy at 0 K is -13.38 kJ/mol of atoms. The value obtained for the volume is 21.97 Å³/atom.